Material: LiCuSCl2
Method: DFT, PBE
State: optimized geometry

Results
ΔE_f (raw)   -0.396 eV/atom
E above lowest polymorph   0.00 eV per formula unit
Calculated density   2644 kg/m3
N(E_F)   4.3 states/eV per cell
Raw total energy   -3.162 eV/atom

```
data_LiCuSCl2
_space_group_name_H-M_alt 'P 1'
_space_group_IT_number 1
_space_group_name_Hall 'P 1'
_cell_length_a 4.9512
_cell_length_b 4.9512
_cell_length_c 4.4439
_cell_angle_alpha 90.00
_cell_angle_beta 90.00
_cell_angle_gamma 90.00
loop_
_atom_site_label
_atom_site_type_symbol
_atom_site_fract_x
_atom_site_fract_y
_atom_site_fract_z
_atom_site_occupancy
S1 S 0.0000 0.0000 0.5000 1
Li1 Li 0.5000 0.5000 0.5000 1
Cu1 Cu 0.0000 0.0000 0.0000 1
Cl1 Cl 0.0000 0.5000 0.0000 1
Cl2 Cl 0.5000 0.0000 0.0000 1
```